[1]
Here is BaSIN2 after structural relaxation from Alexandria. Energies are from PBE.

The structure belongs to space group P4/mmm (No. 123); the cell edges are 4.588, 4.588 and 5.309 Å and the angles 90.00°, 90.00° and 90.00°. Symmetry generates all atoms from Ba at (0.000, 0.000, 0.000), S at (0.500, 0.500, 0.500), I at (0.500, 0.500, 0.000) and N at (0.000, 0.500, 0.500).

The value obtained for the theoretical density is 4.82 g/cm3. For the offset from the most stable computed form, the calculation gives 0.376 eV/atom.

---

[2]
Here is BaSIN2 after structural relaxation from Alexandria. Energies are from PBE.

The structure belongs to space group P4/mmm (No. 123); the cell edges are 5.249, 5.249 and 6.358 Å and the angles 90.00°, 90.00° and 90.00°. Symmetry generates all atoms from Ba at (0.000, 0.000, 0.000), S at (0.000, 0.000, 0.500), I at (0.500, 0.500, 0.500) and N at (0.000, 0.500, 0.000).

The value obtained for the theoretical density is 3.07 g/cm3. For the offset from the most stable computed form, the calculation gives 0.732 eV/atom.

---

[3]
Here is Ba6S2I3N after structural relaxation from Alexandria. Energies are from PBE.

The structure belongs to space group C2/m (No. 12); the cell edges are 7.827, 13.536 and 8.660 Å and the angles 90.00°, 107.49° and 90.00°. Symmetry generates all atoms from Ba at (0.216, 0.153, 0.191), Ba at (0.241, 0.000, 0.804), S at (0.000, 0.334, 0.000), I at (0.000, 0.173, 0.500), I at (0.000, 0.500, 0.500) and N at (0.000, 0.000, 0.000).

The value obtained for the theoretical density is 4.87 g/cm3.

---

[4]
Here is BaSI2N after structural relaxation from Alexandria. Energies are from PBE.

The structure belongs to space group P4/mmm (No. 123); the cell edges are 6.810, 6.810 and 5.422 Å and the angles 90.00°, 90.00° and 90.00°. Symmetry generates all atoms from Ba at (0.000, 0.000, 0.000), S at (0.500, 0.500, 0.500), I at (0.000, 0.500, 0.000) and N at (0.000, 0.000, 0.500).

The value obtained for the theoretical density is 2.89 g/cm3. For the offset from the most stable computed form, the calculation gives 0.645 eV/atom.

---

[5]
Here is BaSI2N after structural relaxation from Alexandria. Energies are from PBE.

The structure belongs to space group P4/mmm (No. 123); the cell edges are 6.392, 6.392 and 3.652 Å and the angles 90.00°, 90.00° and 90.00°. Symmetry generates all atoms from Ba at (0.000, 0.000, 0.000), S at (0.500, 0.500, 0.500), I at (0.000, 0.500, 0.500) and N at (0.500, 0.500, 0.000).

The value obtained for the theoretical density is 4.87 g/cm3. For the offset from the most stable computed form, the calculation gives 0.000 eV/atom.

---

[6]
Here is Ba6SI3N2 after structural relaxation from Alexandria. Energies are from PBE.

The structure belongs to space group C2/m (No. 12); the cell edges are 7.580, 13.129 and 8.715 Å and the angles 90.00°, 106.91° and 90.00°. Symmetry generates all atoms from Ba at (0.199, 0.000, 0.182), Ba at (0.243, 0.319, 0.185), S at (0.000, 0.500, 0.000), I at (0.000, 0.000, 0.500), I at (0.000, 0.340, 0.500) and N at (0.000, 0.168, 0.000).

The value obtained for the theoretical density is 5.06 g/cm3.

---

[7]
Here is BaSbIN2 after structural relaxation from Alexandria. Energies are from PBE.

The structure belongs to space group P4/mmm (No. 123); the cell edges are 4.505, 4.505 and 5.980 Å and the angles 90.00°, 90.00° and 90.00°. Symmetry generates all atoms from Ba at (0.000, 0.000, 0.000), Sb at (0.500, 0.500, 0.500), I at (0.500, 0.500, 0.000) and N at (0.000, 0.500, 0.500).

The value obtained for the theoretical density is 5.66 g/cm3. For the offset from the most stable computed form, the calculation gives 0.000 eV/atom.

---

[8]
Here is BaSbIN2 after structural relaxation from Alexandria. Energies are from PBE.

The structure belongs to space group P4/mmm (No. 123); the cell edges are 4.801, 4.801 and 7.195 Å and the angles 90.00°, 90.00° and 90.00°. Symmetry generates all atoms from Ba at (0.000, 0.000, 0.000), Sb at (0.500, 0.500, 0.500), I at (0.000, 0.000, 0.500) and N at (0.000, 0.500, 0.000).

The value obtained for the theoretical density is 4.15 g/cm3. For the offset from the most stable computed form, the calculation gives 0.895 eV/atom.

---

Q: Which E_tot values were calculated for the entries above? A: -3.754 -3.397 -4.213 -2.874 -3.519 -4.323 -4.277 -3.382, in eV/atom.